Record 1
Material: Cd5Ag8Au
Method: DFT, PBE-GGA
State: relaxed

Cell: 7.1617 7.1617 7.1617 Å, 109.45 109.45 109.52°
Closest atoms and distances in Å follow each position.
Fractional positions:
Cd: 0.0000 0.0000 0.0000  8 Ag 2.78-2.90
Cd: 0.2901 0.6092 0.0959  8 Ag 2.79-3.05
Cd: 0.3908 0.4868 0.6809  8 Ag 2.79-3.05
Cd: 0.5132 0.1941 0.9041  8 Ag 2.79-3.05
Cd: 0.8059 0.7099 0.3191  8 Ag 2.79-3.05
Ag: 0.0081 0.4096 0.2730  4 Ag 2.89-3.19, 5 Cd 2.90-3.05, 1 Au 3.03
Ag: 0.0718 0.1473 0.7041  1 Au 2.76, 5 Cd 2.78-2.95, 2 Ag 3.02-3.04
Ag: 0.1365 0.7350 0.7270  4 Ag 2.89-3.19, 5 Cd 2.90-3.05, 1 Au 3.03
Ag: 0.2650 0.9919 0.4015  4 Ag 2.89-3.19, 5 Cd 2.90-3.05, 1 Au 3.03
Ag: 0.4432 0.3678 0.2959  1 Au 2.76, 5 Cd 2.78-2.95, 2 Ag 3.02-3.04
Ag: 0.5904 0.8635 0.5985  4 Ag 2.89-3.19, 5 Cd 2.90-3.05, 1 Au 3.03
Ag: 0.6322 0.9282 0.0755  1 Au 2.76, 5 Cd 2.78-2.95, 2 Ag 3.02-3.04
Ag: 0.8527 0.5568 0.9245  1 Au 2.76, 5 Cd 2.78-2.95, 2 Ag 3.02-3.04
Au: 0.7500 0.2500 0.5000  8 Ag 2.76-3.03

Computed properties:
Energy of formation from the pure elements (eV/atom): 0.05
Uncorrected energy (eV per atom): -2.14
Space group: I-4 (82)


Record 2
Material: Tl3CdPb2
Method: DFT, PBE-GGA
State: relaxed

Cell: 8.7520 3.6261 11.5535 Å, 90.00 90.99 90.00°
Closest atoms and distances in Å follow each position.
Fractional positions:
Tl: 0.1109 0.2500 0.4064  2 Cd 3.30, 6 Tl 3.45-3.63, 3 Pb 3.47-3.52
Tl: 0.3498 0.7500 0.9236  2 Cd 3.31, 6 Tl 3.55-3.63, 2 Pb 3.56
Tl: 0.3877 0.7500 0.2464  5 Pb 3.46-3.82, 7 Tl 3.55-3.74
Tl: 0.6123 0.2500 0.7536  5 Pb 3.46-3.82, 7 Tl 3.55-3.74
Tl: 0.6502 0.2500 0.0764  2 Cd 3.31, 6 Tl 3.55-3.63, 2 Pb 3.56
Tl: 0.8891 0.7500 0.5936  2 Cd 3.30, 6 Tl 3.45-3.63, 3 Pb 3.47-3.52
Cd: 0.1421 0.2500 0.7400  4 Pb 3.30-3.33, 4 Tl 3.30-3.31, 2 Cd 3.63
Cd: 0.8579 0.7500 0.2600  4 Pb 3.30-3.33, 4 Tl 3.30-3.31, 2 Cd 3.63
Pb: 0.0949 0.2500 0.1018  2 Cd 3.33, 4 Pb 3.38-3.63, 5 Tl 3.52-3.56
Pb: 0.3673 0.7500 0.5761  2 Cd 3.30, 4 Pb 3.45-3.63, 4 Tl 3.46-3.47
Pb: 0.6327 0.2500 0.4239  2 Cd 3.30, 4 Pb 3.45-3.63, 4 Tl 3.46-3.47
Pb: 0.9051 0.7500 0.8982  2 Cd 3.33, 4 Pb 3.38-3.63, 5 Tl 3.52-3.56

Computed properties:
Energy above the most stable polymorph in this dataset (meV/atom): 0
Energy of formation from the pure elements (eV/atom): 0.02
Uncorrected energy (eV per atom): -2.55
Space group: P2_1/m (11)


Record 3
Material: UGeAu
Method: DFT, PBE-GGA
State: relaxed

Cell: 4.4504 4.4504 3.7361 Å, 90.00 90.00 120.00°
Closest atoms and distances in Å follow each position.
Fractional positions:
U: 0.0000 0.0000 0.0000  6 Ge 3.06-3.30, 6 Au 3.07-3.29
Ge: 0.3333 0.6667 0.5562  3 Au 2.60
Au: 0.6667 0.3333 0.4481  3 Ge 2.60

Computed properties:
Energy of formation from the pure elements (eV/atom): -0.18
Uncorrected energy (eV per atom): -6.57
Space group: P3m1 (156)


Record 4
Material: Ce2Nd3Se8
Method: DFT, PBE-GGA
State: relaxed

Cell: 8.5947 8.5947 7.1288 Å, 107.15 107.15 58.75°
Closest atoms and distances in Å follow each position.
Fractional positions:
Ce: 0.2394 0.2394 0.1646  6 Se 2.84-3.01
Ce: 0.7606 0.7606 0.8354  6 Se 2.84-3.01
Nd: 0.2386 0.7614 0.5000  6 Se 2.91-2.99
Nd: 0.5000 0.5000 0.0000  6 Se 2.94-2.98
Nd: 0.7614 0.2386 0.5000  6 Se 2.91-2.99
Se: 0.1099 0.1099 0.3778  1 Ce 2.84, 2 Nd 2.91
Se: 0.1401 0.6038 0.0838  2 Nd 2.94-2.95, 2 Ce 2.98-3.01
Se: 0.3799 0.3799 0.5703  1 Ce 2.94, 3 Nd 2.98-2.99
Se: 0.3962 0.8599 0.9162  2 Nd 2.94-2.95, 2 Ce 2.98-3.01
Se: 0.6038 0.1401 0.0838  2 Nd 2.94-2.95, 2 Ce 2.98-3.01
Se: 0.6201 0.6201 0.4297  1 Ce 2.94, 3 Nd 2.98-2.99
Se: 0.8599 0.3962 0.9162  2 Nd 2.94-2.95, 2 Ce 2.98-3.01
Se: 0.8901 0.8901 0.6222  1 Ce 2.84, 2 Nd 2.91

Computed properties:
Energy above the most stable polymorph in this dataset (meV/atom): 0
Uncorrected energy (eV per atom): -5.89
Space group: C2/m (12)
Formation energy (no corrections) (eV/atom): -1.73


Record 5
Material: Ce2CuSe3
Method: DFT, PBE-GGA
State: relaxed

Cell: 3.9391 4.5792 16.2409 Å, 90.00 90.00 90.00°
Closest atoms and distances in Å follow each position.
Fractional positions:
Ce: 0.0000 0.0000 0.1401  7 Se 3.01-3.07
Ce: 0.0000 0.0000 0.8599  7 Se 3.01-3.07
Ce: 0.5000 0.5000 0.3599  7 Se 3.01-3.07
Ce: 0.5000 0.5000 0.6401  7 Se 3.01-3.07
Cu: 0.0000 0.0000 0.5000  2 Se 2.29
Cu: 0.5000 0.5000 0.0000  2 Se 2.29
Se: 0.0000 0.0000 0.3259  1 Cu 2.83, 5 Ce 3.02-3.07
Se: 0.0000 0.0000 0.6741  1 Cu 2.83, 5 Ce 3.02-3.07
Se: 0.0000 0.5000 0.5000  2 Cu 2.29
Se: 0.5000 0.0000 0.0000  2 Cu 2.29
Se: 0.5000 0.5000 0.1741  1 Cu 2.83, 5 Ce 3.02-3.07
Se: 0.5000 0.5000 0.8259  1 Cu 2.83, 5 Ce 3.02-3.07

Computed properties:
Uncorrected energy (eV per atom): -5.75
Space group: Immm (71)
Formation energy (no corrections) (eV/atom): -1.35


Record 6
Material: Ca3I5Cl
Method: DFT, PBE-GGA
State: relaxed

Cell: 15.9532 15.9532 4.5984 Å, 90.00 90.00 141.14°
Closest atoms and distances in Å follow each position.
Fractional positions:
Ca: 0.0000 0.0000 0.0000  2 Cl 2.86, 4 I 3.12
Ca: 0.1501 0.8499 0.5000  2 Cl 2.83
Ca: 0.3271 0.6729 0.0000  6 I 3.13-3.15
Ca: 0.5000 0.5000 0.5000  6 I 3.08-3.20
Ca: 0.6729 0.3271 0.0000  6 I 3.13-3.15
Ca: 0.8499 0.1501 0.5000  2 Cl 2.83
I: 0.1321 0.4653 0.5000  3 Ca 3.14-3.21
I: 0.1983 0.1983 0.5000  3 Ca 3.12-3.20
I: 0.2230 0.7770 0.0000  3 Ca 3.13-3.18
I: 0.4317 0.5683 0.0000  3 Ca 3.08-3.15
I: 0.4653 0.1321 0.5000  3 Ca 3.14-3.21
I: 0.5347 0.8679 0.5000  3 Ca 3.14-3.21
I: 0.5683 0.4317 0.0000  3 Ca 3.08-3.15
I: 0.7770 0.2230 0.0000  3 Ca 3.13-3.18
I: 0.8017 0.8017 0.5000  3 Ca 3.12-3.20
I: 0.8679 0.5347 0.5000  3 Ca 3.14-3.21
Cl: 0.0952 0.9048 0.0000  3 Ca 2.83-2.86
Cl: 0.9048 0.0952 0.0000  3 Ca 2.83-2.86

Computed properties:
Uncorrected energy (eV per atom): -3.43
Space group: Cmmm (65)
Formation energy (no corrections) (eV/atom): -1.70


Record 7
Material: Ti4GaSe
Method: DFT, PBE-GGA
State: relaxed

Cell: 7.3311 7.3311 6.3468 Å, 103.93 103.93 40.51°
Closest atoms and distances in Å follow each position.
Fractional positions:
Ti: 0.0432 0.8114 0.5593  1 Se 2.47, 2 Ti 2.59-2.72
Ti: 0.1886 0.9568 0.9407  1 Se 2.47, 2 Ti 2.59-2.72
Ti: 0.2085 0.4727 0.8820  2 Se 2.50-2.52, 1 Ga 2.76
Ti: 0.4727 0.2085 0.3820  2 Se 2.50-2.52, 1 Ga 2.76
Ti: 0.5273 0.7915 0.6180  2 Se 2.50-2.52, 1 Ga 2.76
Ti: 0.7915 0.5273 0.1180  2 Se 2.50-2.52, 1 Ga 2.76
Ti: 0.8114 0.0432 0.0593  1 Se 2.47, 2 Ti 2.59-2.72
Ti: 0.9568 0.1886 0.4407  1 Se 2.47, 2 Ti 2.59-2.72
Ga: 0.3799 0.6201 0.2500  10 Ti 2.76-2.90
Ga: 0.6201 0.3799 0.7500  10 Ti 2.76-2.90
Se: 0.0000 0.5000 0.5000  6 Ti 2.47-2.52
Se: 0.5000 0.0000 0.0000  6 Ti 2.47-2.52

Computed properties:
Uncorrected energy (eV per atom): -6.64
Space group: C2/c (15)
Formation energy (no corrections) (eV/atom): -0.29


Record 8
Material: TiTeN2F
Method: DFT, PBE-GGA
State: relaxed

Cell: 4.1995 4.1995 4.1187 Å, 90.00 90.00 90.00°
Closest atoms and distances in Å follow each position.
Fractional positions:
Ti: 0.0000 0.0000 0.0000  8 N 2.94, 4 F 2.97
Te: 0.5000 0.5000 0.5000  2 F 2.06, 4 N 2.10
N: 0.0000 0.5000 0.5000  2 Te 2.10
N: 0.5000 0.0000 0.5000  2 Te 2.10
F: 0.5000 0.5000 0.0000  2 Te 2.06

Computed properties:
Energy above the most stable polymorph in this dataset (meV/atom): 991
Uncorrected energy (eV per atom): -5.32
Space group: P4/mmm (123)
Formation energy (no corrections) (eV/atom): 0.59


Record 9
Material: Th3MgAs4
Method: DFT, PBE-GGA
State: relaxed

Cell: 5.9673 5.9673 5.9673 Å, 90.00 90.00 90.00°
Closest atoms and distances in Å follow each position.
Fractional positions:
Th: 0.0000 0.0000 0.5000  6 As 2.98
Th: 0.0000 0.5000 0.0000  6 As 2.98
Th: 0.5000 0.0000 0.0000  6 As 2.98
Mg: 0.5000 0.5000 0.5000  6 As 2.98
As: 0.0000 0.0000 0.0000  6 Th 2.98
As: 0.0000 0.5000 0.5000  4 Th 2.98, 2 Mg 2.98
As: 0.5000 0.0000 0.5000  4 Th 2.98, 2 Mg 2.98
As: 0.5000 0.5000 0.0000  4 Th 2.98, 2 Mg 2.98

Computed properties:
Energy of formation from the pure elements (eV/atom): -1.18
Uncorrected energy (eV per atom): -6.49
Space group: Pm-3m (221)


Record 10
Material: Er2TlNi
Method: DFT, PBE-GGA
State: relaxed

Cell: 3.4418 3.4418 7.6948 Å, 90.00 90.00 90.00°
Closest atoms and distances in Å follow each position.
Fractional positions:
Er: 0.0000 0.0000 0.2096  4 Ni 2.92, 1 Er 3.23
Er: 0.0000 0.0000 0.7904  4 Ni 2.92, 1 Er 3.23
Tl: 0.5000 0.5000 0.5000  8 Er 3.30, 4 Tl 3.44
Ni: 0.5000 0.5000 0.0000  8 Er 2.92

Computed properties:
Energy above the most stable polymorph in this dataset (meV/atom): 0
Energy of formation from the pure elements (eV/atom): -0.38
Uncorrected energy (eV per atom): -4.70
Space group: P4/mmm (123)


Record 11
Material: ZnGaAs2Pb
Method: DFT, PBE-GGA
State: relaxed

Cell: 5.4397 5.4397 5.7338 Å, 90.00 90.00 90.00°
Closest atoms and distances in Å follow each position.
Fractional positions:
Zn: 0.0000 0.0000 0.0000  4 Ga 3.85, 8 As 3.95
Ga: 0.5000 0.5000 0.0000  2 Pb 2.87
As: 0.0000 0.5000 0.5000  2 Pb 2.72
As: 0.5000 0.0000 0.5000  2 Pb 2.72
Pb: 0.5000 0.5000 0.5000  4 As 2.72, 2 Ga 2.87

Computed properties:
Energy of formation from the pure elements (eV/atom): 0.95
Uncorrected energy (eV per atom): -2.51
Space group: P4/mmm (123)


Record 12
Material: Hf6NiPd2
Method: DFT, PBE-GGA
State: relaxed

Cell: 5.6942 7.1938 10.2885 Å, 90.00 121.71 90.00°
Closest atoms and distances in Å follow each position.
Fractional positions:
Hf: 0.0761 0.0582 0.2466  1 Ni 2.49, 1 Pd 2.75
Hf: 0.0761 0.4418 0.7466  1 Ni 2.49, 1 Pd 2.75
Hf: 0.2166 0.7365 0.0671  1 Ni 2.67, 2 Pd 2.68-2.72
Hf: 0.2166 0.7635 0.5671  1 Ni 2.67, 2 Pd 2.68-2.72
Hf: 0.3808 0.1539 0.0384  1 Ni 2.66, 2 Pd 2.67-2.86, 1 Hf 2.92
Hf: 0.3808 0.3461 0.5384  1 Ni 2.66, 2 Pd 2.67-2.86, 1 Hf 2.92
Hf: 0.6192 0.6539 0.4616  1 Ni 2.66, 2 Pd 2.67-2.86, 1 Hf 2.92
Hf: 0.6192 0.8461 0.9616  1 Ni 2.66, 2 Pd 2.67-2.86, 1 Hf 2.92
Hf: 0.7834 0.2365 0.4329  1 Ni 2.67, 2 Pd 2.68-2.72
Hf: 0.7834 0.2635 0.9329  1 Ni 2.67, 2 Pd 2.68-2.72
Hf: 0.9239 0.5582 0.2534  1 Ni 2.49, 1 Pd 2.75
Hf: 0.9239 0.9418 0.7534  1 Ni 2.49, 1 Pd 2.75
Ni: 0.5000 0.0000 0.5000  6 Hf 2.49-2.67
Ni: 0.5000 0.5000 0.0000  6 Hf 2.49-2.67
Pd: 0.3192 0.0934 0.7082  6 Hf 2.67-2.99, 1 Ni 2.90
Pd: 0.3192 0.4066 0.2082  6 Hf 2.67-2.99, 1 Ni 2.90
Pd: 0.6808 0.5934 0.7918  6 Hf 2.67-2.99, 1 Ni 2.90
Pd: 0.6808 0.9066 0.2918  6 Hf 2.67-2.99, 1 Ni 2.90

Computed properties:
Energy of formation from the pure elements (eV/atom): -0.29
Uncorrected energy (eV per atom): -8.72
Space group: P2_1/c (14)